Below is MnIn2S4 after structural relaxation, with properties calculated at the GGA-PBE level.

Cell: 3.7133 6.4702 12.5081 Å, 90.00 90.00 106.68°
Closest atoms and distances in Å follow each position.
Fractional coordinates of all 14 atoms:
In1 0.8639 0.7278 0.9275  6 S 2.59-2.67
In2 0.1361 0.2722 0.4275  6 S 2.59-2.67
In3 0.8639 0.7278 0.5725  6 S 2.59-2.67
In4 0.1361 0.2722 0.0725  6 S 2.59-2.67
S1 0.5000 0.0000 0.0000  4 In 2.67
S2 0.7817 0.5634 0.1216  3 In 2.63-2.66, 2 Mn 2.81
S3 0.5000 0.0000 0.5000  4 In 2.67
S4 0.9721 0.9441 0.7500  2 Mn 2.51, 2 In 2.59
S5 0.0279 0.0559 0.2500  2 Mn 2.51, 2 In 2.59
S6 0.2183 0.4366 0.8784  3 In 2.63-2.66, 2 Mn 2.81
S7 0.2183 0.4366 0.6216  3 In 2.63-2.66, 2 Mn 2.81
S8 0.7817 0.5634 0.3784  3 In 2.63-2.66, 2 Mn 2.81
Mn1 0.6086 0.2172 0.7500  6 S 2.51-2.81
Mn2 0.3914 0.7828 0.2500  6 S 2.51-2.81

The uncorrected formation energy is -3.08 eV per formula unit.



Below is TmMgZnSi after structural relaxation, with properties calculated at the GGA-PBE level.

Cell: 4.7836 4.7836 4.7836 Å, 60.00 60.00 60.00°
Closest atoms and distances in Å follow each position.
Fractional coordinates of all 4 atoms:
Zn1 0.2500 0.2500 0.2500  4 Mg 2.93, 4 Tm 2.93
Si1 0.7500 0.7500 0.7500  4 Mg 2.93, 4 Tm 2.93
Tm1 0.0000 0.0000 0.0000  4 Zn 2.93, 4 Si 2.93
Mg1 0.5000 0.5000 0.5000  4 Si 2.93, 4 Zn 2.93

The uncorrected formation energy is -0.94 eV per formula unit.



Below is Cd3GaRe after structural relaxation, with properties calculated at the GGA-PBE level.

Cell: 5.2547 5.2547 5.2547 Å, 90.00 90.00 90.00°
Closest atoms and distances in Å follow each position.
Fractional coordinates of all 5 atoms:
Cd1 0.0000 0.5000 0.0000  2 Re 2.63
Cd2 0.5000 0.0000 0.0000  2 Re 2.63
Cd3 0.0000 0.0000 0.5000  2 Re 2.63
Ga1 0.5000 0.5000 0.5000  12 Cd 3.72
Re1 0.0000 0.0000 0.0000  6 Cd 2.63

For the polymorph energy (0 for the lowest one), the calculation gives 0 meV per atom. As for the formation energy: 5.11 eV per formula unit.



Below is Pm5Ge5Ir2 after structural relaxation, with properties calculated at the GGA-PBE level.

Cell: 4.2843 7.9643 8.8751 Å, 87.96 76.03 74.40°
Closest atoms and distances in Å follow each position.
Fractional coordinates of all 12 atoms:
Pm1 0.0000 0.5000 0.5000  6 Ge 3.07-3.30, 4 Ir 3.13
Pm2 0.6927 0.6923 0.9223  3 Ir 3.02-3.04, 7 Ge 3.14-3.24
Pm3 0.3073 0.3077 0.0777  3 Ir 3.02-3.04, 7 Ge 3.14-3.24
Pm4 0.6267 0.0743 0.6724  5 Ge 2.96-3.14, 1 Ir 3.12
Pm5 0.3733 0.9257 0.3276  5 Ge 2.96-3.14, 1 Ir 3.12
Ge1 0.9475 0.3015 0.8034  2 Ir 2.54
Ge2 0.7204 0.2225 0.3366  1 Ir 2.53
Ge3 0.2796 0.7775 0.6634  1 Ir 2.53
Ge4 0.0000 0.0000 0.0000  2 Ge 2.91, 4 Pm 3.24
Ge5 0.0525 0.6985 0.1966  2 Ir 2.54
Ir1 0.3833 0.4708 0.7626  3 Ge 2.53-2.54
Ir2 0.6167 0.5292 0.2374  3 Ge 2.53-2.54

As for the formation energy: -9.22 eV per formula unit.



Below is ZnPRu2 after structural relaxation, with properties calculated at the GGA-PBE level.

Cell: 2.7565 2.7565 8.6445 Å, 90.00 90.00 117.47°
Closest atoms and distances in Å follow each position.
Fractional coordinates of all 4 atoms:
Ru1 0.5000 0.5000 0.7523  2 Zn 2.58, 8 Ru 2.69-2.86
Ru2 0.0000 0.0000 0.0155  2 P 2.33
P1 0.5000 0.5000 0.2286  2 Ru 2.33
Zn1 0.0000 0.0000 0.5036  2 Ru 2.58, 6 Zn 2.76-2.86, 2 P 2.77

For the polymorph energy (0 for the lowest one), the calculation gives 558 meV per atom. As for the formation energy: 1.20 eV per formula unit.



Calculated N(E_F) (states/eV/cell), listed in the same order as above: 0.68; 2.77; 3.70; 7.81; 3.83